The following is a DFT calculation (GGA-PBE) of an optimized crystal structure of Y2ZnRu.

POSCAR file:
```
Y2ZnRu
1.0
-2.4901 -0.5629 -4.9234
-5.4988 -0.6706 0.2655
3.6245 3.5895 2.1761
Y Zn Ru
2 1 1
Direct
0.2500 0.7500 0.5000
0.0000 0.0000 0.0000
0.5000 0.5000 0.0000
0.7500 0.2500 0.5000
```

Spin magnetization in μB/f.u.: 0.0
ΔH_f (0 K) in meV per atom: -103
SG: I-4m2 (119)